# 1
5
Lattice="-2.145 4.617 1.813 -3.883 -2.792 2.515 2.047 -0.202 2.936" Properties=species:S:1:pos:R:3 comment="VTcI2N | Alexandria | GGA-PBE | relaxed" e_tot_ev_per_atom=-5.30 e_form_raw_ev_per_atom=0.8840 pbc="T T T"
I -1.942 -1.396 1.258
I -1.072 2.308 0.907
N 1.023 -0.101 1.468
Tc -1.991 0.811 3.632
V 0.000 0.000 0.000

# 2
4
Lattice="-1.290 4.158 0.461 -4.265 0.985 -0.008 -2.055 0.873 7.125" Properties=species:S:1:pos:R:3 comment="KTl2Co | Alexandria | GGA-PBE | relaxed" e_tot_ev_per_atom=-2.91 ef_mev_per_atom=320 pbc="T T T"
Co -3.856 2.805 5.485
K -1.901 1.494 1.956
Tl -2.034 0.968 6.354
Tl -5.679 4.631 4.699

# 3
3
Lattice="3.900 0.000 0.000 -1.950 3.378 0.000 0.000 0.000 3.324" Properties=species:S:1:pos:R:3 comment="TaCoAs | Alexandria | GGA-PBE | relaxed" e_tot_ev_per_atom=-8.14 ef_mev_per_atom=-274 pbc="T T T"
As 0.000 0.000 0.478
Co 0.000 2.252 0.677
Ta 1.950 1.126 2.170

# 4
4
Lattice="5.192 0.000 0.000 2.596 4.497 0.000 2.596 1.499 4.239" Properties=species:S:1:pos:R:3 comment="PmDyMgGe | Alexandria | GGA-PBE | relaxed" e_tot_ev_per_atom=-4.25 ef_mev_per_atom=-362 pbc="T T T"
Ge 2.596 1.499 1.060
Pm 5.192 2.998 2.120
Mg 7.788 4.497 3.180
Dy 0.000 0.000 0.000

# 5
8
Lattice="6.086 0.077 0.110 -2.929 5.335 -0.110 -2.929 -1.918 4.980" Properties=species:S:1:pos:R:3 comment="Nd2GaPt5 | Alexandria | GGA-PBE | relaxed" e_tot_ev_per_atom=-6.21 ef_mev_per_atom=-869 pbc="T T T"
Nd 0.133 -0.077 3.746
Nd 0.133 3.549 1.202
Ga -5.614 3.274 4.666
Pt -1.525 2.514 3.583
Pt -2.939 3.339 1.303
Pt -2.939 0.090 3.583
Pt 1.733 0.991 1.413
Pt -1.545 0.901 1.284

# 6
4
Lattice="-0.531 -4.131 4.213 3.529 -3.612 -3.097 3.021 1.426 1.779" Properties=species:S:1:pos:R:3 comment="CdBr | Alexandria | GGA-PBE | relaxed" e_tot_ev_per_atom=-1.56 e_form_raw_ev_per_atom=-0.2700 pbc="T T T"
Br 0.768 -1.927 0.290
Br 5.251 -4.390 2.605
Cd 2.514 -3.742 -1.270
Cd 0.484 -4.001 2.385

# 7
12
Lattice="-0.290 1.850 -3.877 7.294 -4.180 -0.150 -6.500 -4.128 -1.483" Properties=species:S:1:pos:R:3 comment="PmZn2Ag3 | Alexandria | GGA-PBE | relaxed" relative_energy_ev_per_fu=0.03 e_tot_ev_per_atom=-2.81 ef_mev_per_atom=-166 pbc="T T T"
Pm -1.155 -5.260 -4.814
Pm 1.659 -1.198 -0.696
Zn 1.475 -6.576 -3.248
Zn -0.971 0.118 -2.262
Zn 2.272 -2.138 -3.581
Zn -1.768 -4.320 -1.929
Ag 0.912 -4.301 -2.121
Ag 2.338 -4.606 -4.764
Ag -3.231 -2.626 -3.402
Ag 3.735 -3.832 -2.108
Ag -1.834 -1.851 -0.746
Ag -0.408 -2.157 -3.389

# 8
10
Lattice="6.742 0.000 0.000 0.000 6.742 0.000 0.000 0.000 2.833" Properties=species:S:1:pos:R:3 comment="Al2ZnCo2 | Alexandria | GGA-PBE | relaxed" e_tot_ev_per_atom=-4.91 ef_mev_per_atom=-317 pbc="T T T"
Zn 0.000 0.000 0.000
Zn 3.371 3.371 0.000
Co 2.367 5.738 0.000
Co 5.738 4.375 0.000
Co 4.375 1.004 0.000
Co 1.004 2.367 0.000
Al 0.995 4.366 1.417
Al 4.366 5.747 1.417
Al 5.747 2.376 1.417
Al 2.376 0.995 1.417

# 9
11
Lattice="6.868 0.000 0.000 0.000 6.868 0.000 -3.434 -3.434 4.588" Properties=species:S:1:pos:R:3 comment="Zn4GaAg6 | Alexandria | GGA-PBE | relaxed" e_tot_ev_per_atom=-2.11 ef_mev_per_atom=180 pbc="T T T"
Zn -2.244 2.244 4.069
Zn 5.678 5.678 0.519
Zn 2.244 -2.244 4.069
Zn 1.190 1.190 0.519
Ga 3.434 3.434 0.000
Ag -1.016 1.016 2.194
Ag 1.016 -1.016 2.194
Ag 2.418 2.418 2.394
Ag 0.000 3.434 0.000
Ag 4.450 4.450 2.394
Ag 3.434 0.000 0.000

# 10
4
Lattice="2.613 0.000 0.000 0.000 4.088 0.000 0.000 0.000 4.435" Properties=species:S:1:pos:R:3 comment="Co3Mo | Alexandria | GGA-PBE | relaxed" e_tot_ev_per_atom=-7.95 ef_mev_per_atom=87 pbc="T T T"
Co 0.000 0.000 4.372
Co 1.307 0.000 2.260
Co 1.307 2.044 3.719
Mo 0.000 2.044 1.476

# 11
5
Lattice="4.269 0.000 0.000 0.000 4.269 0.000 0.000 0.000 4.269" Properties=species:S:1:pos:R:3 comment="SrTc3N | Alexandria | GGA-PBE | relaxed" relative_energy_ev_per_fu=0.00 e_tot_ev_per_atom=-7.69 e_form_raw_ev_per_atom=0.5282 pbc="T T T"
Sr 2.135 2.135 2.135
Tc 0.000 2.135 0.000
Tc 0.000 0.000 2.135
Tc 2.135 0.000 0.000
N 0.000 0.000 0.000

# 12
15
Lattice="-2.101 2.799 1.448 1.403 -2.686 2.273 21.485 14.268 3.594" Properties=species:S:1:pos:R:3 comment="MnSiSnIrS | Alexandria | GGA-PBE | relaxed" relative_energy_ev_per_fu=0.53 e_tot_ev_per_atom=-6.57 e_form_raw_ev_per_atom=-0.2534 pbc="T T T"
S 6.712 4.457 1.123
S 21.271 13.112 5.517
S 12.941 10.184 4.044
Ir 8.738 5.802 1.461
Ir 1.811 0.189 2.262
Ir 14.966 11.529 4.383
Si 16.673 11.072 2.789
Si 9.747 5.459 3.589
Si 1.417 2.531 2.116
Sn 11.134 7.394 1.862
Sn 4.207 1.780 2.662
Sn 17.362 13.120 4.783
Mn 14.554 9.665 2.434
Mn 7.627 4.051 3.234
Mn -0.703 1.124 1.762

# 13
4
Lattice="2.691 0.015 0.000 -1.128 2.443 0.000 0.000 0.000 9.543" Properties=species:S:1:pos:R:3 comment="Re2TcAg | Alexandria | GGA-PBE | relaxed" relative_energy_ev_per_fu=0.79 e_tot_ev_per_atom=-9.08 ef_mev_per_atom=450 pbc="T T T"
Ag 0.782 1.229 7.157
Re 0.000 0.000 0.156
Re 0.000 0.000 4.615
Tc 0.782 1.229 2.386

# 14
4
Lattice="9.620 -0.008 -0.005 9.193 2.833 -0.005 9.193 1.380 2.474" Properties=species:S:1:pos:R:3 comment="TlOs2Pt | Alexandria | GGA-PBE | relaxed" relative_energy_ev_per_fu=0.47 e_tot_ev_per_atom=-7.21 ef_mev_per_atom=505 pbc="T T T"
Os 27.757 4.167 2.442
Os 7.099 1.066 0.625
Pt 14.180 2.129 1.247
Tl 20.981 3.150 1.846

# 15
4
Lattice="4.906 0.000 0.000 2.453 4.249 0.000 2.453 1.416 4.006" Properties=species:S:1:pos:R:3 comment="SmGdOsRh | Alexandria | GGA-PBE | relaxed" e_tot_ev_per_atom=-9.68 ef_mev_per_atom=-338 pbc="T T T"
Rh 0.000 0.000 0.000
Gd 2.453 1.416 1.001
Os 4.906 2.833 2.003
Sm 7.359 4.249 3.004

# 16
18
Lattice="8.123 0.000 0.000 0.000 7.238 -3.721 0.000 -0.048 8.808" Properties=species:S:1:pos:R:3 comment="Dy5Tl2Sb2 | Alexandria | GGA-PBE | relaxed" e_tot_ev_per_atom=-4.70 e_form_raw_ev_per_atom=-0.7014 pbc="T T T"
Dy 0.000 0.000 0.000
Dy 4.061 3.619 -1.861
Dy 6.785 5.831 -0.567
Dy 1.337 3.384 0.691
Dy 2.724 7.003 -1.169
Dy 5.399 2.212 1.294
Dy 1.337 1.359 5.654
Dy 6.785 3.807 4.395
Dy 5.399 0.187 6.256
Dy 2.724 4.978 3.793
Tl 5.130 6.275 -3.226
Tl 2.993 0.963 -0.495
Tl 1.069 4.582 -2.356
Tl 7.054 2.656 -1.365
Sb 0.000 1.447 2.814
Sb 4.061 5.066 0.953
Sb 0.000 5.744 2.273
Sb 4.061 2.125 4.133

# 17
4
Lattice="4.785 0.000 0.000 2.393 4.144 0.000 2.393 1.381 3.907" Properties=species:S:1:pos:R:3 comment="PmScCoPd | Alexandria | GGA-PBE | relaxed" e_tot_ev_per_atom=-6.26 ef_mev_per_atom=-410 pbc="T T T"
Sc 7.178 4.144 2.930
Co 4.785 2.763 1.954
Pd 0.000 0.000 0.000
Pm 2.393 1.381 0.977

# 18
18
Lattice="-5.349 -4.125 0.152 1.250 -3.181 -5.828 3.164 -5.351 2.647" Properties=species:S:1:pos:R:3 comment="Pm2PuP3Rh12 | Alexandria | GGA-PBE | relaxed" e_tot_ev_per_atom=-7.45 ef_mev_per_atom=-319 pbc="T T T"
Pm -0.583 -7.886 -1.888
Pm -0.353 -4.772 -1.142
Pu 0.000 0.000 0.000
P -2.674 -2.062 0.076
P 0.625 -1.591 -2.914
P 1.582 -2.676 1.323
Rh 1.403 -7.541 0.358
Rh -2.318 -7.817 -3.791
Rh 1.843 -8.417 -2.572
Rh -3.286 -6.865 -1.016
Rh -1.382 -8.878 0.352
Rh 0.349 -6.346 -4.310
Rh -2.339 -5.117 -3.388
Rh 1.382 -4.840 0.761
Rh -2.779 -4.241 -0.458
Rh 2.350 -5.792 -2.014
Rh 0.446 -3.779 -3.381
Rh -1.284 -6.312 1.280

# 19
5
Lattice="-2.447 2.321 1.844 -1.857 0.664 -3.300 -2.311 -2.992 0.698" Properties=species:S:1:pos:R:3 comment="Si3HOs | Alexandria | GGA-PBE | relaxed" relative_energy_ev_per_fu=0.00 e_tot_ev_per_atom=-5.61 pbc="T T T"
H 0.000 0.000 0.000
Si -0.928 0.332 -1.650
Si -1.156 -1.496 0.349
Si -1.224 1.161 0.922
Os -3.308 -0.003 -0.379

# 20
16
Lattice="-0.164 -5.787 5.696 -1.795 2.470 -7.526 7.116 -0.600 -1.253" Properties=species:S:1:pos:R:3 comment="Mg3Be5 | Alexandria | GGA-PBE | relaxed" relative_energy_ev_per_fu=0.00 e_tot_ev_per_atom=-2.63 ef_mev_per_atom=300 pbc="T T T"
Be 4.007 0.974 -5.808
Be 2.362 -1.840 0.951
Be 2.215 0.079 -4.869
Be 4.231 -0.161 -3.991
Be 4.201 -2.547 0.282
Be 0.963 -1.373 -3.368
Be 0.930 -3.758 0.907
Be 2.946 -3.997 1.785
Be 2.801 -2.080 -4.036
Be 1.154 -4.893 2.724
Mg 2.979 -0.665 -1.831
Mg -0.610 -0.225 -1.435
Mg -0.635 0.116 -4.494
Mg 5.798 -4.035 1.410
Mg -1.349 -3.102 -0.401
Mg 2.184 -3.255 -1.254

# 21
4
Lattice="0.000 3.975 3.975 3.975 0.000 3.975 3.975 3.975 0.000" Properties=species:S:1:pos:R:3 comment="CaTePb2 | Alexandria | GGA-PBE | relaxed" relative_energy_ev_per_fu=1.68 e_tot_ev_per_atom=-3.29 e_form_raw_ev_per_atom=-0.1451 pbc="T T T"
Pb 1.988 1.988 1.988
Pb 5.963 5.963 5.963
Ca 0.000 0.000 0.000
Te 3.975 3.975 3.975